Record 1
# LiCaPmSe3

A geometry-optimized LiCaPmSe3 structure (PBE-GGA, Alexandria via LeMat-Bulk).

Lattice parameters (Å, degrees): 8.595 4.131 8.911 90.00 101.05 90.00
Positions (direct):
1 Li 0.084 0.250 0.083
2 Li 0.916 0.750 0.917
3 Ca 0.176 0.250 0.727
4 Ca 0.824 0.750 0.273
5 Pm 0.335 0.750 0.326
6 Pm 0.665 0.250 0.674
7 Se 0.102 0.250 0.368
8 Se 0.214 0.750 0.996
9 Se 0.421 0.750 0.668
10 Se 0.579 0.250 0.332
11 Se 0.786 0.250 0.004
12 Se 0.898 0.750 0.632

Summary:
E_form (uncorrected): -1.7215 eV/atom

=====

Record 2
# LiCa3Pm4Se8

A geometry-optimized LiCa3Pm4Se8 structure (PBE-GGA, Alexandria via LeMat-Bulk).

Lattice parameters (Å, degrees): 8.405 8.405 8.405 59.29 59.29 59.29
Positions (direct):
1 Li 0.000 0.000 0.000
2 Ca 0.000 0.500 0.500
3 Ca 0.500 0.000 0.500
4 Ca 0.500 0.500 0.000
5 Pm 0.000 0.000 0.500
6 Pm 0.000 0.500 0.000
7 Pm 0.500 0.000 0.000
8 Pm 0.500 0.500 0.500
9 Se 0.246 0.246 0.752
10 Se 0.246 0.752 0.246
11 Se 0.248 0.754 0.754
12 Se 0.251 0.251 0.251
13 Se 0.749 0.749 0.749
14 Se 0.752 0.246 0.246
15 Se 0.754 0.248 0.754
16 Se 0.754 0.754 0.248

Summary:
E_form (uncorrected): -1.8571 eV/atom

=====

Record 3
# LiCaPm2Se4

A geometry-optimized LiCaPm2Se4 structure (PBE-GGA, Alexandria via LeMat-Bulk).

Lattice parameters (Å, degrees): 7.179 4.166 7.226 90.00 109.39 90.00
Positions (direct):
1 Li 0.000 0.000 0.000
2 Ca 0.500 0.500 0.000
3 Pm 0.000 0.500 0.500
4 Pm 0.500 0.000 0.500
5 Se 0.245 0.500 0.244
6 Se 0.247 0.000 0.756
7 Se 0.753 0.000 0.244
8 Se 0.755 0.500 0.756

Summary:
E_form (uncorrected): -1.7981 eV/atom

=====

Record 4
# LiCa3Pm3Se8

A geometry-optimized LiCa3Pm3Se8 structure (PBE-GGA, Alexandria via LeMat-Bulk).

Lattice parameters (Å, degrees): 8.383 8.383 8.383 59.82 59.82 59.82
Positions (direct):
1 Li 0.000 0.000 0.000
2 Ca 0.000 0.000 0.500
3 Ca 0.000 0.500 0.000
4 Ca 0.500 0.000 0.000
5 Pm 0.000 0.500 0.500
6 Pm 0.500 0.000 0.500
7 Pm 0.500 0.500 0.000
8 Se 0.244 0.244 0.752
9 Se 0.244 0.752 0.244
10 Se 0.248 0.756 0.756
11 Se 0.250 0.250 0.250
12 Se 0.750 0.750 0.750
13 Se 0.752 0.244 0.244
14 Se 0.756 0.248 0.756
15 Se 0.756 0.756 0.248

Summary:
E_form (uncorrected): -1.8092 eV/atom

=====

Record 5
# Li2CaPm2Si2

A geometry-optimized Li2CaPm2Si2 structure (PBE-GGA, Alexandria via LeMat-Bulk).

Lattice parameters (Å, degrees): 9.489 9.489 9.489 27.84 27.84 27.84
Positions (direct):
1 Li 0.100 0.100 0.100
2 Li 0.900 0.900 0.900
3 Ca 0.500 0.500 0.500
4 Pm 0.373 0.373 0.373
5 Pm 0.627 0.627 0.627
6 Si 0.242 0.242 0.242
7 Si 0.758 0.758 0.758

Summary:
E_form (uncorrected): -0.3689 eV/atom

=====

Record 6
# LiCaPmSm

A geometry-optimized LiCaPmSm structure (PBE-GGA, Alexandria via LeMat-Bulk).

Lattice parameters (Å, degrees): 5.704 5.704 5.704 60.00 60.00 60.00
Positions (direct):
1 Li 0.000 0.000 0.000
2 Ca 0.750 0.750 0.750
3 Pm 0.500 0.500 0.500
4 Sm 0.250 0.250 0.250

Summary:
formation energy from the elements: 0.223 eV/atom